{"formula": "Rb2SeIN", "functional": "GGA-PBE", "state": "optimized geometry", "cell": [[6.640, 0.000, 0.000], [0.000, 6.640, 0.000], [0.000, 0.000, 5.801]], "species": ["Rb", "Rb", "Se", "I", "N"], "frac_coords": [[0.000, 0.500, 0.000], [0.500, 0.000, 0.000], [0.000, 0.000, 0.000], [0.000, 0.000, 0.500], [0.500, 0.500, 0.500]], "crystal_system": "tetragonal", "final_energy_ev_per_fu": -13.9, "e_form_raw_mev_per_atom": 282}

***

{"formula": "RbPaBeO4", "functional": "GGA-PBE", "state": "optimized geometry", "cell": [[5.367, 0.000, 0.000], [0.000, 5.459, 0.000], [-2.452, 0.000, 7.343]], "species": ["Rb", "Rb", "Pa", "Pa", "Be", "Be", "O", "O", "O", "O", "O", "O", "O", "O"], "frac_coords": [[0.218, 0.250, 0.436], [0.782, 0.750, 0.564], [0.259, 0.250, 0.953], [0.741, 0.750, 0.047], [0.279, 0.750, 0.160], [0.721, 0.250, 0.840], [0.066, 0.750, 0.946], [0.080, 0.750, 0.282], [0.477, 0.517, 0.170], [0.477, 0.983, 0.170], [0.523, 0.017, 0.830], [0.523, 0.483, 0.830], [0.920, 0.250, 0.718], [0.934, 0.250, 0.054]], "crystal_system": "monoclinic", "final_energy_ev_per_fu": -54.2, "e_form_raw_mev_per_atom": -2885}

***

{"formula": "CsLaCd2S", "functional": "GGA-PBE", "state": "optimized geometry", "cell": [[5.342, 0.000, 0.000], [0.000, 5.342, 0.000], [0.000, 0.000, 6.152]], "species": ["Cs", "La", "Cd", "Cd", "S"], "frac_coords": [[0.000, 0.000, 0.000], [0.500, 0.500, 0.000], [0.000, 0.500, 0.500], [0.500, 0.000, 0.500], [0.000, 0.000, 0.500]], "crystal_system": "tetragonal", "final_energy_ev_per_fu": -10.3, "e_form_raw_mev_per_atom": 279}

***

{"formula": "YNbI3", "functional": "GGA-PBE", "state": "optimized geometry", "cell": [[5.625, 0.000, 0.000], [0.000, 5.625, 0.000], [0.000, 0.000, 5.625]], "species": ["Y", "Nb", "I", "I", "I"], "frac_coords": [[0.000, 0.000, 0.000], [0.500, 0.500, 0.500], [0.000, 0.500, 0.500], [0.500, 0.000, 0.500], [0.500, 0.500, 0.000]], "crystal_system": "cubic", "final_energy_ev_per_fu": -20.0, "de_polymorph_mev_per_atom": 0, "e_form_raw_mev_per_atom": 236}

***

{"formula": "Ba2Zn3F10", "functional": "GGA-PBE", "state": "optimized geometry", "cell": [[9.480, -3.058, 0.000], [9.480, 3.058, 0.000], [-2.926, 0.000, 7.461]], "species": ["Ba", "Ba", "Ba", "Ba", "Zn", "Zn", "Zn", "Zn", "Zn", "Zn", "F", "F", "F", "F", "F", "F", "F", "F", "F", "F", "F", "F", "F", "F", "F", "F", "F", "F", "F", "F"], "frac_coords": [[0.115, 0.115, 0.221], [0.218, 0.218, 0.813], [0.782, 0.782, 0.187], [0.885, 0.885, 0.779], [0.243, 0.757, 0.500], [0.324, 0.324, 0.480], [0.425, 0.425, 0.047], [0.575, 0.575, 0.953], [0.676, 0.676, 0.520], [0.757, 0.243, 0.500], [0.000, 0.500, 0.500], [0.015, 0.015, 0.685], [0.109, 0.590, 0.022], [0.123, 0.652, 0.470], [0.262, 0.262, 0.217], [0.276, 0.724, 0.000], [0.348, 0.877, 0.530], [0.364, 0.364, 0.753], [0.410, 0.891, 0.978], [0.479, 0.479, 0.319], [0.500, 0.000, 0.500], [0.521, 0.521, 0.681], [0.590, 0.109, 0.022], [0.636, 0.636, 0.247], [0.652, 0.123, 0.470], [0.724, 0.276, 0.000], [0.738, 0.738, 0.783], [0.877, 0.348, 0.530], [0.891, 0.410, 0.978], [0.985, 0.985, 0.315]], "crystal_system": "monoclinic", "final_energy_ev_per_fu": -70.6, "e_form_raw_mev_per_atom": -2948}

***

{"formula": "PRuF3", "functional": "GGA-PBE", "state": "optimized geometry", "cell": [[4.212, 0.000, 0.000], [0.000, 4.212, 0.000], [0.000, 0.000, 4.212]], "species": ["P", "Ru", "F", "F", "F"], "frac_coords": [[0.000, 0.000, 0.000], [0.500, 0.500, 0.500], [0.000, 0.000, 0.500], [0.000, 0.500, 0.000], [0.500, 0.000, 0.000]], "crystal_system": "cubic", "final_energy_ev_per_fu": -20.9, "de_polymorph_mev_per_atom": 87, "e_form_raw_mev_per_atom": -127}